The following is a DFT calculation (PBE-GGA) of crystalline La3Ce at its relaxed geometry.

Computed properties:
As for the crystal system: tetragonal.

Cell and atoms, written as extended XYZ:
```
4
Lattice="-2.5838 -1.5437 -4.1770 -0.4321 -4.7195 2.0114 -2.9555 4.5012 3.3375" Properties=species:S:1:pos:R:3 pbc="T T T"
Ce 0.0000 0.0000 0.0000
La -2.4477 -1.6749 2.1331
La -3.5236 -0.0870 -0.9611
La -1.5079 -3.1316 -1.0828
```

The following is a DFT calculation (PBE-GGA) of crystalline La3Ce at its relaxed geometry.

Computed properties:
As for the crystal system: cubic.

Cell and atoms, written as extended XYZ:
```
4
Lattice="5.8811 0.0000 0.0000 2.9405 5.0932 0.0000 2.9405 1.6977 4.8019" Properties=species:S:1:pos:R:3 pbc="T T T"
Ce 5.8811 3.3955 2.4009
La 0.0000 0.0000 0.0000
La 8.8216 5.0932 3.6014
La 2.9405 1.6977 1.2005
```

Calculated formation energy (computed, kJ/mol of formula units): 27; 77
E_tot (computed, eV/cell): -20.43; -19.92